Density functional theory data (PBE) for Ta2VS3 after structural relaxation.

a = 6.5034 Å, b = 6.5034 Å, c = 5.9626 Å
α = 90.00°, β = 90.00°, γ = 58.42°
Closest atoms and distances in Å follow each position.
Element x y z (fractional)
1 Ta 0.0457 0.3392 0.0000  4 S 2.35-2.47
2 Ta 0.3392 0.0457 0.5000  4 S 2.35-2.47
3 Ta 0.6608 0.9543 0.0000  4 S 2.35-2.47
4 Ta 0.9543 0.6608 0.5000  4 S 2.35-2.47
5 V 0.4018 0.5982 0.2953  4 S 2.25-2.29
6 V 0.5982 0.4018 0.7953  4 S 2.25-2.29
7 S 0.0652 0.6743 0.1163  1 V 2.25, 3 Ta 2.35-2.41
8 S 0.2649 0.7351 0.6465  2 V 2.27-2.29, 2 Ta 2.47
9 S 0.3257 0.9348 0.1163  1 V 2.25, 3 Ta 2.35-2.41
10 S 0.6743 0.0652 0.6163  1 V 2.25, 3 Ta 2.35-2.41
11 S 0.7351 0.2649 0.1465  2 V 2.27-2.29, 2 Ta 2.47
12 S 0.9348 0.3257 0.6163  1 V 2.25, 3 Ta 2.35-2.41

Computed properties:
DOS at the Fermi energy in states/eV per atom: 0.4199
Total energy in eV per formula unit: -48.193
Formation energy without anion corrections in eV/atom: -0.498


Density functional theory data (PBE) for Ta2VS4 after structural relaxation.

a = 6.9412 Å, b = 6.9412 Å, c = 6.9412 Å
α = 141.93°, β = 141.93°, γ = 54.94°
Closest atoms and distances in Å follow each position.
Element x y z (fractional)
1 Ta 0.1122 0.1122 0.0000  5 S 2.38-2.65
2 Ta 0.8878 0.8878 0.0000  5 S 2.38-2.65
3 V 0.5000 0.5000 0.0000  6 S 2.26-2.40
4 S 0.0000 0.5000 0.5000  2 V 2.26
5 S 0.3053 0.3053 0.0000  1 Ta 2.38, 1 V 2.40
6 S 0.5000 0.0000 0.5000  2 V 2.26
7 S 0.6947 0.6947 0.0000  1 Ta 2.38, 1 V 2.40

Computed properties:
DOS at the Fermi energy in states/eV per atom: 1.1594
Relative energy among the computed polymorphs in meV/atom: 981
Total energy in eV per formula unit: -49.232
Formation energy without anion corrections in eV/atom: 0.015


Density functional theory data (PBE) for TaV2S6 after structural relaxation.

a = 6.1780 Å, b = 6.1780 Å, c = 8.3081 Å
α = 117.14°, β = 117.14°, γ = 39.49°
Closest atoms and distances in Å follow each position.
Element x y z (fractional)
1 Ta 0.0000 0.0000 0.0000  6 S 2.45-2.56
2 V 0.1426 0.1426 0.5749  5 S 2.22-2.48
3 V 0.8574 0.8574 0.4251  5 S 2.22-2.48
4 S 0.0298 0.0298 0.7274  2 V 2.22-2.33, 1 Ta 2.45
5 S 0.2979 0.2979 0.4502  3 V 2.24-2.48
6 S 0.3549 0.3549 0.8768  1 V 2.53, 2 Ta 2.56
7 S 0.6451 0.6451 0.1232  1 V 2.53, 2 Ta 2.56
8 S 0.7021 0.7021 0.5498  3 V 2.24-2.48
9 S 0.9702 0.9702 0.2726  2 V 2.22-2.33, 1 Ta 2.45

Computed properties:
DOS at the Fermi energy in states/eV per atom: 0.6199
Relative energy among the computed polymorphs in meV/atom: 330
Total energy in eV per formula unit: -60.176
Formation energy without anion corrections in eV/atom: -0.591


Density functional theory data (PBE) for TaVS2 after structural relaxation.

a = 6.4899 Å, b = 6.4899 Å, c = 6.4899 Å
α = 129.59°, β = 129.59°, γ = 74.06°
Closest atoms and distances in Å follow each position.
Element x y z (fractional)
1 Ta 0.0000 0.0000 0.0000  4 S 2.38
2 Ta 0.7500 0.2500 0.5000  4 S 2.38
3 V 0.2500 0.7500 0.5000  4 S 2.31
4 V 0.5000 0.5000 0.0000  4 S 2.31
5 S 0.1369 0.6250 0.0119  2 V 2.31, 2 Ta 2.38
6 S 0.3750 0.3869 0.5119  2 V 2.31, 2 Ta 2.38
7 S 0.6131 0.1250 0.9881  2 V 2.31, 2 Ta 2.38
8 S 0.8750 0.8631 0.4881  2 V 2.31, 2 Ta 2.38

Computed properties:
DOS at the Fermi energy in states/eV per atom: 0.9523
Relative energy among the computed polymorphs in meV/atom: 215
Total energy in eV per formula unit: -30.477
Formation energy without anion corrections in eV/atom: -0.313


Density functional theory data (PBE) for Ta2VS5 after structural relaxation.

a = 9.2853 Å, b = 6.9693 Å, c = 6.8824 Å
α = 84.18°, β = 48.31°, γ = 47.51°
Closest atoms and distances in Å follow each position.
Element x y z (fractional)
1 Ta 0.1849 0.8151 0.1849  7 S 2.41-2.69
2 Ta 0.8151 0.1849 0.8151  7 S 2.41-2.69
3 V 0.5000 0.5000 0.5000  2 S 2.20
4 S 0.0000 0.0000 0.0000  2 V 2.20, 2 Ta 2.41
5 S 0.2236 0.5484 0.4516  3 Ta 2.50-2.69, 1 V 2.60
6 S 0.4516 0.7764 0.2236  3 Ta 2.50-2.69, 1 V 2.60
7 S 0.5484 0.2236 0.7764  3 Ta 2.50-2.69, 1 V 2.60
8 S 0.7764 0.4516 0.5484  3 Ta 2.50-2.69, 1 V 2.60

Computed properties:
DOS at the Fermi energy in states/eV per atom: 0.2545
Total energy in eV per formula unit: -59.215
Formation energy without anion corrections in eV/atom: -0.719


Density functional theory data (PBE) for Ta3VS after structural relaxation.

a = 4.6646 Å, b = 4.6646 Å, c = 4.6646 Å
α = 90.00°, β = 90.00°, γ = 90.00°
Closest atoms and distances in Å follow each position.
Element x y z (fractional)
1 Ta 0.0000 0.0000 0.5000  2 V 2.33
2 Ta 0.0000 0.5000 0.0000  2 V 2.33
3 Ta 0.5000 0.0000 0.0000  2 V 2.33
4 V 0.0000 0.0000 0.0000  6 Ta 2.33
5 S 0.5000 0.5000 0.5000  12 Ta 3.30

Computed properties:
DOS at the Fermi energy in states/eV per atom: 0.5806
Total energy in eV per formula unit: -42.273
Formation energy without anion corrections in eV/atom: 1.306


Density functional theory data (PBE) for TaV2S4 after structural relaxation.

a = 6.8786 Å, b = 6.8786 Å, c = 6.8786 Å
α = 138.70°, β = 138.70°, γ = 59.83°
Closest atoms and distances in Å follow each position.
Element x y z (fractional)
1 Ta 0.0000 0.0000 0.0000  6 S 2.39-2.43
2 V 0.3893 0.3893 0.0000  1 S 2.26
3 V 0.6107 0.6107 0.0000  1 S 2.26
4 S 0.0000 0.5000 0.5000  2 Ta 2.43
5 S 0.2001 0.2001 0.0000  1 V 2.26, 1 Ta 2.39
6 S 0.5000 0.0000 0.5000  2 Ta 2.43
7 S 0.7999 0.7999 0.0000  1 V 2.26, 1 Ta 2.39

Computed properties:
DOS at the Fermi energy in states/eV per atom: 0.8467
Total energy in eV per formula unit: -48.141
Formation energy without anion corrections in eV/atom: -0.220


Density functional theory data (PBE) for TaV4S8 after structural relaxation.

a = 6.8620 Å, b = 6.8620 Å, c = 6.8620 Å
α = 59.55°, β = 59.55°, γ = 59.55°
Closest atoms and distances in Å follow each position.
Element x y z (fractional)
1 Ta 0.0000 0.0000 0.0000  6 S 2.45
2 V 0.0000 0.0000 0.5000  6 S 2.38-2.44
3 V 0.0000 0.5000 0.0000  6 S 2.38-2.44
4 V 0.5000 0.0000 0.0000  6 S 2.38-2.44
5 V 0.5000 0.5000 0.5000  6 S 2.39
6 S 0.2460 0.2460 0.2460  3 V 2.38
7 S 0.2532 0.2532 0.7433  3 V 2.39-2.44, 1 Ta 2.45
8 S 0.2532 0.7433 0.2532  3 V 2.39-2.44, 1 Ta 2.45
9 S 0.2567 0.7468 0.7468  3 V 2.39-2.44, 1 Ta 2.45
10 S 0.7433 0.2532 0.2532  3 V 2.39-2.44, 1 Ta 2.45
11 S 0.7468 0.2567 0.7468  3 V 2.39-2.44, 1 Ta 2.45
12 S 0.7468 0.7468 0.2567  3 V 2.39-2.44, 1 Ta 2.45
13 S 0.7540 0.7540 0.7540  3 V 2.38

Computed properties:
DOS at the Fermi energy in states/eV per atom: 0.9667
Relative energy among the computed polymorphs in meV/atom: 30
Total energy in eV per formula unit: -92.166
Formation energy without anion corrections in eV/atom: -0.832


Density functional theory data (PBE) for TaVS2 after structural relaxation.

a = 3.1546 Å, b = 3.1546 Å, c = 7.8934 Å
α = 90.00°, β = 90.00°, γ = 120.00°
Closest atoms and distances in Å follow each position.
Element x y z (fractional)
1 Ta 0.0000 0.0000 0.0000  4 S 2.45-2.49
2 V 0.3333 0.6667 0.4938  4 S 2.30-2.36
3 S 0.0000 0.0000 0.3150  3 V 2.30, 1 Ta 2.49
4 S 0.3333 0.6667 0.7929  1 V 2.36, 3 Ta 2.45

Computed properties:
DOS at the Fermi energy in states/eV per atom: 0.8007
Relative energy among the computed polymorphs in meV/atom: 0
Total energy in eV per formula unit: -31.337
Formation energy without anion corrections in eV/atom: -0.528


Density functional theory data (PBE) for TaV2S6 after structural relaxation.

a = 8.2883 Å, b = 8.2883 Å, c = 7.5821 Å
α = 113.82°, β = 113.82°, γ = 22.85°
Closest atoms and distances in Å follow each position.
Element x y z (fractional)
1 Ta 0.0000 0.0000 0.0000  6 S 2.45
2 V 0.3256 0.3256 0.6542  6 S 2.31-2.47
3 V 0.6744 0.6744 0.3458  6 S 2.31-2.47
4 S 0.1645 0.1645 0.1075  2 V 2.40, 1 Ta 2.45
5 S 0.1720 0.1720 0.5690  3 V 2.31-2.37
6 S 0.4907 0.4907 0.7529  2 Ta 2.45, 1 V 2.47
7 S 0.5093 0.5093 0.2471  2 Ta 2.45, 1 V 2.47
8 S 0.8280 0.8280 0.4310  3 V 2.31-2.37
9 S 0.8355 0.8355 0.8925  2 V 2.40, 1 Ta 2.45

Computed properties:
DOS at the Fermi energy in states/eV per atom: 0.4270
Relative energy among the computed polymorphs in meV/atom: 0
Total energy in eV per formula unit: -63.141
Formation energy without anion corrections in eV/atom: -0.921


Density functional theory data (PBE) for Ta2VZnS after structural relaxation.

a = 4.7726 Å, b = 4.7726 Å, c = 4.2508 Å
α = 90.00°, β = 90.00°, γ = 90.00°
Closest atoms and distances in Å follow each position.
Element x y z (fractional)
1 Ta 0.0000 0.5000 0.0000  2 V 2.39
2 Ta 0.5000 0.0000 0.0000  2 V 2.39
3 V 0.0000 0.0000 0.0000  2 S 2.13
4 Zn 0.5000 0.5000 0.5000  8 Ta 3.20, 4 S 3.37
5 S 0.0000 0.0000 0.5000  2 V 2.13

Computed properties:
DOS at the Fermi energy in states/eV per atom: 1.1209
Total energy in eV per formula unit: -33.334
Formation energy without anion corrections in eV/atom: 0.978


Density functional theory data (PBE) for Ta2WS6 after structural relaxation.

a = 6.0165 Å, b = 6.0104 Å, c = 10.7614 Å
α = 90.00°, β = 122.68°, γ = 90.00°
Closest atoms and distances in Å follow each position.
Element x y z (fractional)
1 Ta 0.1791 0.1537 0.2593  5 S 2.39-2.53
2 Ta 0.1791 0.3463 0.7593  5 S 2.39-2.53
3 Ta 0.8209 0.6537 0.2407  5 S 2.39-2.53
4 Ta 0.8209 0.8463 0.7407  5 S 2.39-2.53
5 W 0.0000 0.0000 0.5000  6 S 2.39-2.46
6 W 0.0000 0.5000 0.0000  6 S 2.39-2.46
7 S 0.1004 0.1473 0.9241  2 Ta 2.39-2.53, 1 W 2.46
8 S 0.1004 0.3527 0.4241  2 Ta 2.39-2.53, 1 W 2.46
9 S 0.2636 0.6803 0.9183  1 W 2.44, 2 Ta 2.50-2.51
10 S 0.2636 0.8197 0.4183  1 W 2.44, 2 Ta 2.50-2.51
11 S 0.4085 0.0365 0.7319  1 W 2.39, 1 Ta 2.43
12 S 0.4085 0.4635 0.2319  1 W 2.39, 1 Ta 2.43
13 S 0.5915 0.5365 0.7681  1 W 2.39, 1 Ta 2.43
14 S 0.5915 0.9635 0.2681  1 W 2.39, 1 Ta 2.43
15 S 0.7364 0.1803 0.5817  1 W 2.44, 2 Ta 2.50-2.51
16 S 0.7364 0.3197 0.0817  1 W 2.44, 2 Ta 2.50-2.51
17 S 0.8996 0.6473 0.5759  2 Ta 2.39-2.53, 1 W 2.46
18 S 0.8996 0.8527 0.0759  2 Ta 2.39-2.53, 1 W 2.46

Computed properties:
DOS at the Fermi energy in states/eV per atom: 0.3876
Relative energy among the computed polymorphs in meV/atom: 289
Total energy in eV per formula unit: -66.879
Formation energy without anion corrections in eV/atom: -0.606